1.
VASP calculation (PBE) on a relaxed structure of NbNiOs3.

a = 4.3877 Å, b = 4.3877 Å, c = 4.3877 Å
α = 90.00°, β = 90.00°, γ = 90.00°
Last column: nearest neighbours and their distance in Å.
Space group Pm-3m (No. 221)
Symmetry-distinct sites (fractional):
Nb 0.0000 0.0000 0.0000 (multiplicity 1)  12 Os 3.10
Ni 0.5000 0.5000 0.5000 (multiplicity 1)  6 Os 2.19
Os 0.0000 0.5000 0.5000 (multiplicity 3)  2 Ni 2.19

Summary:
- Relative energy among the computed polymorphs: 0.000 eV per atom
- Size of the total moment: 1.06 μB per formula unit


2.
VASP calculation (PBE) on a relaxed structure of AlNiTe2.

a = 4.5658 Å, b = 5.4851 Å, c = 6.8583 Å
α = 90.00°, β = 90.00°, γ = 90.00°
Last column: nearest neighbours and their distance in Å.
Space group Amm2 (No. 38)
Symmetry-distinct sites (fractional):
Al 0.0000 0.0000 0.0000 (multiplicity 2)  2 Ni 2.61, 5 Te 2.69-2.84
Ni 0.5000 0.0000 0.1846 (multiplicity 2)  2 Al 2.61, 5 Te 2.69-2.82
Te 0.0000 0.0000 0.3917 (multiplicity 2)  3 Al 2.69-2.84, 2 Ni 2.69
Te 0.5000 0.0000 0.7794 (multiplicity 2)  2 Al 2.74, 3 Ni 2.78-2.82

Summary:
- Energy relative to the elements, uncorrected: -0.1793 eV per atom
- Size of the total moment: 0.00 μB per formula unit


3.
VASP calculation (PBE) on a relaxed structure of MgOs2Br.

a = 4.7612 Å, b = 2.9156 Å, c = 4.8727 Å
α = 90.00°, β = 107.11°, γ = 90.00°
Last column: nearest neighbours and their distance in Å.
Space group P2/m (No. 10)
Symmetry-distinct sites (fractional):
Mg 0.0000 0.0000 0.0000 (multiplicity 1)  4 Br 2.79, 6 Os 2.84-2.86, 2 Mg 2.92
Os 0.0000 0.5000 0.5000 (multiplicity 1)  6 Os 2.79-2.92, 4 Mg 2.84, 2 Br 2.86
Os 0.5000 0.0000 0.5000 (multiplicity 1)  6 Os 2.79-2.92, 4 Br 2.84, 2 Mg 2.86
Br 0.5000 0.5000 0.0000 (multiplicity 1)  4 Mg 2.79, 6 Os 2.84-2.86, 2 Br 2.92

Summary:
- Energy relative to the elements, uncorrected: 0.8241 eV per atom
- Relative energy among the computed polymorphs: 0.570 eV per atom
- Size of the total moment: 0.00 μB per formula unit


4.
VASP calculation (PBE) on a relaxed structure of Sr2In3BiAu12.

a = 9.0309 Å, b = 9.0309 Å, c = 21.8011 Å
α = 90.00°, β = 90.00°, γ = 120.00°
Last column: nearest neighbours and their distance in Å.
Space group R-3m (No. 166, hexagonal axes)
Symmetry-distinct sites (fractional):
Sr 0.0000 0.0000 0.1060 (multiplicity 6)  6 Au 3.19-3.36
In 0.0000 0.5000 0.0000 (multiplicity 9)  6 Au 2.78-3.00
Bi 0.0000 0.0000 0.5000 (multiplicity 3)  6 Au 2.77
Au 0.0117 0.5058 0.8626 (multiplicity 18)  4 Au 2.74-2.98, 1 Bi 2.77, 1 In 3.00
Au 0.0831 0.5415 0.4014 (multiplicity 18)  2 Au 2.74, 2 In 2.78

Summary:
- E: -168.4 eV/cell
- Size of the total moment: 0.00 μB per formula unit


5.
VASP calculation (PBE) on a relaxed structure of K3Pu3CrSe8.

a = 14.3626 Å, b = 8.2488 Å, c = 9.1448 Å
α = 90.00°, β = 121.44°, γ = 90.00°
Last column: nearest neighbours and their distance in Å.
Space group C2/m (No. 12)
Symmetry-distinct sites (fractional):
K 0.0000 0.0000 0.0000 (multiplicity 2)  6 Se 3.31-3.35
K 0.2500 0.2500 0.0000 (multiplicity 4)  6 Se 3.30-3.35
Pu 0.0000 0.5000 0.5000 (multiplicity 2)  6 Se 2.88-2.90
Pu 0.2500 0.2500 0.5000 (multiplicity 4)  6 Se 2.88-2.91
Cr 0.0000 0.0000 0.5000 (multiplicity 2)  6 Se 2.63-2.65
Se 0.0131 0.2298 0.3116 (multiplicity 8)  1 Cr 2.63, 2 Pu 2.88-2.91
Se 0.2157 0.0000 0.6874 (multiplicity 4)  1 Cr 2.65, 2 Pu 2.88
Se 0.2362 0.5000 0.7075 (multiplicity 4)  3 Pu 2.88-2.90

Summary:
- Energy relative to the elements, uncorrected: -1.2205 eV per atom
- Size of the total moment: 1.84 μB per formula unit


6.
VASP calculation (PBE) on a relaxed structure of Re2TcPt.

a = 5.5571 Å, b = 5.5671 Å, c = 7.6998 Å
α = 90.00°, β = 90.00°, γ = 90.00°
Last column: nearest neighbours and their distance in Å.
Space group F222 (No. 22)
Symmetry-distinct sites (fractional):
Re 0.0000 0.0000 0.0000 (multiplicity 4)  4 Re 2.75, 4 Tc 2.75, 4 Pt 2.78
Re 0.2500 0.2500 0.2500 (multiplicity 4)  4 Pt 2.75, 4 Re 2.75, 4 Tc 2.78
Tc 0.2500 0.2500 0.7500 (multiplicity 4)  8 Re 2.75-2.78, 4 Pt 2.75
Pt 0.0000 0.0000 0.5000 (multiplicity 4)  8 Re 2.75-2.78, 4 Tc 2.75

Summary:
- Relative energy among the computed polymorphs: 0.015 eV per atom
- Size of the total moment: 0.00 μB per formula unit


7.
VASP calculation (PBE) on a relaxed structure of ReGeRh2Au.

a = 4.4944 Å, b = 4.4944 Å, c = 4.6376 Å
α = 90.00°, β = 90.00°, γ = 90.00°
Last column: nearest neighbours and their distance in Å.
Space group P4/mmm (No. 123)
Symmetry-distinct sites (fractional):
Re 0.0000 0.0000 0.0000 (multiplicity 1)  2 Ge 2.32
Ge 0.0000 0.0000 0.5000 (multiplicity 1)  4 Rh 2.25, 2 Re 2.32
Rh 0.0000 0.5000 0.5000 (multiplicity 2)  2 Ge 2.25
Au 0.5000 0.5000 0.0000 (multiplicity 1)  4 Re 3.18, 8 Rh 3.23

Summary:
- E: -29.6 eV/cell
- Size of the total moment: 1.56 μB per formula unit


8.
VASP calculation (PBE) on a relaxed structure of CsY2Cl8.

a = 11.2131 Å, b = 8.4070 Å, c = 8.7499 Å
α = 90.00°, β = 102.44°, γ = 90.00°
Last column: nearest neighbours and their distance in Å.
Space group C2/m (No. 12)
Symmetry-distinct sites (fractional):
Cs 0.0000 0.0000 0.0000 (multiplicity 2)  6 Cl 3.54-3.57
Y 0.1775 0.5000 0.4633 (multiplicity 4)  7 Cl 2.62-2.77
Cl 0.0612 0.5000 0.6975 (multiplicity 4)  2 Y 2.66-2.74
Cl 0.1435 0.1893 0.3581 (multiplicity 8)  2 Y 2.77
Cl 0.2399 0.0000 0.7955 (multiplicity 4)  1 Y 2.62

Summary:
- Energy relative to the elements, uncorrected: -1.9518 eV per atom
- Size of the total moment: 1.11 μB per formula unit


9.
VASP calculation (PBE) on a relaxed structure of BeAgW2.

a = 2.7000 Å, b = 4.1998 Å, c = 5.3036 Å
α = 90.00°, β = 97.31°, γ = 90.00°
Last column: nearest neighbours and their distance in Å.
Space group P2/m (No. 10)
Symmetry-distinct sites (fractional):
Be 0.0000 0.0000 0.0000 (multiplicity 1)  8 W 2.65-2.93, 2 Ag 2.65, 2 Be 2.70
Ag 0.0000 0.0000 0.5000 (multiplicity 1)  2 Be 2.65, 2 Ag 2.70, 8 W 2.85-2.89
W 0.4501 0.5000 0.2306 (multiplicity 2)  3 W 2.49-2.70, 2 Be 2.65

Summary:
- E: -30.5 eV/cell
- Size of the total moment: 0.00 μB per formula unit